A geometry-optimized Mn2Be2CrO6 structure, computed with PBE+U.

**Uncorrected energy**: -76.0 eV per cell
**N(E_F)**: 5.241 states/eV/cell
**Symmetry**: No. 162
**Magnetization**: 8.00 μB per formula unit

a = 4.851 Å, b = 4.851 Å, c = 4.745 Å
α = 90.00°, β = 90.00°, γ = 120.00°
Element x y z (fractional)
Mn  0.333  0.667  0.000
Mn  0.667  0.333  0.000
Be  0.333  0.667  0.500
Be  0.667  0.333  0.500
Cr  0.000  0.000  0.500
O  0.000  0.358  0.722
O  0.000  0.642  0.278
O  0.358  0.000  0.722
O  0.358  0.358  0.278
O  0.642  0.000  0.278
O  0.642  0.642  0.722